# CaSc2Co, optimized geometry, DFT GGA-PBE
data_CaSc2Co
_chemical_formula_sum 'Ca2 Sc4 Co2'
_symmetry_space_group_name_H-M 'C 1 m 1'
_symmetry_Int_Tables_number 8
_symmetry_space_group_name_Hall 'C -2y'
_cell_length_a 11.197
_cell_length_b 4.952
_cell_length_c 3.363
_cell_angle_alpha 90.00
_cell_angle_beta 107.40
_cell_angle_gamma 90.00
loop_
_atom_site_label
_atom_site_type_symbol
_atom_site_fract_x
_atom_site_fract_y
_atom_site_fract_z
Ca1 Ca 0.000 0.000 0.000
Sc1 Sc 0.198 0.500 0.199
Sc2 Sc 0.380 0.000 0.381
Co1 Co 0.214 0.000 0.715
# Polymorph energy (0 for the lowest one): 0.1581 eV/atom
# ΔE_f: 72 meV per atom
# Total magnetic moment: 0.000 μB/f.u.
# VASP energy: -5.37 eV per atom